Entry 1:
# TlTeIr, optimized geometry, DFT GGA-PBE
data_TlTeIr
_symmetry_space_group_name_H-M 'I 4 m m'
_symmetry_Int_Tables_number 107
_symmetry_space_group_name_Hall 'I 4 -2'
_cell_length_a 3.411
_cell_length_b 3.411
_cell_length_c 13.894
_cell_angle_alpha 90.00
_cell_angle_beta 90.00
_cell_angle_gamma 90.00
loop_
_atom_site_label
_atom_site_type_symbol
_atom_site_fract_x
_atom_site_fract_y
_atom_site_fract_z
Tl1 Tl 0.000 0.000 0.000
Te1 Te 0.000 0.000 0.246
Ir1 Ir 0.000 0.000 0.665
# calculated total energy	-4.59	eV/atom
# size of the total moment	0.0	μB per cell
# energy above the lowest structure with this stoichiometry	0.119	eV/atom

=====

Entry 2:
# SrLiSi2, optimized geometry, DFT GGA-PBE
data_SrLiSi2
_symmetry_space_group_name_H-M 'I -4 m 2'
_symmetry_Int_Tables_number 119
_symmetry_space_group_name_Hall 'I -4 -2'
_cell_length_a 4.504
_cell_length_b 4.504
_cell_length_c 8.510
_cell_angle_alpha 90.00
_cell_angle_beta 90.00
_cell_angle_gamma 90.00
loop_
_atom_site_label
_atom_site_type_symbol
_atom_site_fract_x
_atom_site_fract_y
_atom_site_fract_z
Sr1 Sr 0.000 0.000 0.000
Li1 Li 0.000 0.500 0.750
Si1 Si 0.000 0.000 0.500
Si2 Si 0.000 0.500 0.250
# calculated total energy	-3.50	eV/atom
# size of the total moment	0.0	μB per cell
# energy above the lowest structure with this stoichiometry	0.523	eV/atom

=====

Entry 3:
# CsCd2C, optimized geometry, DFT GGA-PBE
data_CsCd2C
_symmetry_space_group_name_H-M 'I 41/a m d'
_symmetry_Int_Tables_number 141
_cell_length_a 7.131
_cell_length_b 7.131
_cell_length_c 10.130
_cell_angle_alpha 90.00
_cell_angle_beta 90.00
_cell_angle_gamma 90.00
loop_
_symmetry_equiv_pos_as_xyz
'x,y,z'
'-x,-y,-z'
'-y+1/4,x+3/4,z+1/4'
'y+1/4,-x+3/4,-z+1/4'
'-x+1/2,-y,z+1/2'
'x+1/2,y,-z+1/2'
'y+1/4,-x+1/4,z+3/4'
'-y+1/4,x+1/4,-z+3/4'
'x,-y,-z'
'-x,y,z'
'-y+1/4,-x+1/4,-z+3/4'
'y+1/4,x+1/4,z+3/4'
'-x+1/2,y,-z+1/2'
'x+1/2,-y,z+1/2'
'y+1/4,x+3/4,-z+1/4'
'-y+1/4,-x+3/4,z+1/4'
'x+1/2,y+1/2,z+1/2'
'-x+1/2,-y+1/2,-z+1/2'
'-y+3/4,x+1/4,z+3/4'
'y+3/4,-x+1/4,-z+3/4'
'-x,-y+1/2,z'
'x,y+1/2,-z'
'y+3/4,-x+3/4,z+1/4'
'-y+3/4,x+3/4,-z+1/4'
'x+1/2,-y+1/2,-z+1/2'
'-x+1/2,y+1/2,z+1/2'
'-y+3/4,-x+3/4,-z+1/4'
'y+3/4,x+3/4,z+1/4'
'-x,y+1/2,-z'
'x,-y+1/2,z'
'y+3/4,x+1/4,-z+3/4'
'-y+3/4,-x+1/4,z+3/4'
loop_
_atom_site_label
_atom_site_type_symbol
_atom_site_fract_x
_atom_site_fract_y
_atom_site_fract_z
Cs1 Cs 0.000 0.250 0.375
Cd1 Cd 0.000 0.000 0.000
C1 C 0.000 0.250 0.875
# energy of formation from the pure elements	0.6883	eV per atom
# calculated total energy	-2.29	eV/atom
# size of the total moment	0.0	μB per cell

=====

Entry 4:
# Zr3Te4S2, optimized geometry, DFT GGA-PBE
data_Zr3Te4S2
_symmetry_space_group_name_H-M 'P 3 m 1'
_symmetry_Int_Tables_number 156
_cell_length_a 3.7930
_cell_length_b 3.7930
_cell_length_c 22.2301
_cell_angle_alpha 90.00
_cell_angle_beta 90.00
_cell_angle_gamma 120.00
loop_
_symmetry_equiv_pos_as_xyz
'x,y,z'
'-y,x-y,z'
'-x+y,-x,z'
'-y,-x,z'
'-x+y,y,z'
'x,x-y,z'
loop_
_atom_site_label
_atom_site_type_symbol
_atom_site_fract_x
_atom_site_fract_y
_atom_site_fract_z
Zr1 Zr 0.0000 0.0000 0.0000
Zr2 Zr 0.0000 0.0000 0.3444
Zr3 Zr 0.6667 0.3333 0.6866
Te1 Te 0.0000 0.0000 0.6003
Te2 Te 0.0000 0.0000 0.7725
Te3 Te 0.6667 0.3333 0.2585
Te4 Te 0.6667 0.3333 0.4308
S1 S 0.6667 0.3333 0.0685
S2 S 0.6667 0.3333 0.9311
# calculated total energy	-6.08	eV/atom
# size of the total moment	0.0	μB per cell

=====

Entry 5:
# Ag3Pt2Au4, optimized geometry, DFT GGA-PBE
data_Ag3Pt2Au4
_symmetry_space_group_name_H-M 'P -1'
_symmetry_Int_Tables_number 2
_cell_length_a 4.104
_cell_length_b 4.966
_cell_length_c 8.808
_cell_angle_alpha 74.26
_cell_angle_beta 89.75
_cell_angle_gamma 65.67
loop_
_symmetry_equiv_pos_as_xyz
'x,y,z'
'-x,-y,-z'
loop_
_atom_site_label
_atom_site_type_symbol
_atom_site_fract_x
_atom_site_fract_y
_atom_site_fract_z
Ag1 Ag 0.000 0.000 0.000
Ag2 Ag 0.333 0.335 0.445
Pt1 Pt 0.332 0.335 0.778
Au1 Au 0.001 0.999 0.331
Au2 Au 0.333 0.333 0.112
# energy of formation from the pure elements	0.0063	eV per atom
# calculated total energy	-3.74	eV/atom
# size of the total moment	0.0	μB per cell
# energy above the lowest structure with this stoichiometry	0.009	eV/atom

=====

Entry 6:
# Ti3ZnGa3, optimized geometry, DFT GGA-PBE
data_Ti3ZnGa3
_symmetry_space_group_name_H-M 'P 63/m'
_symmetry_Int_Tables_number 176
_symmetry_space_group_name_Hall '-P 6c'
_cell_length_a 7.3631
_cell_length_b 7.3631
_cell_length_c 4.7497
_cell_angle_alpha 90.00
_cell_angle_beta 90.00
_cell_angle_gamma 120.00
loop_
_atom_site_label
_atom_site_type_symbol
_atom_site_fract_x
_atom_site_fract_y
_atom_site_fract_z
Ti1 Ti 0.1015 0.4629 0.2500
Zn1 Zn 0.3333 0.6667 0.7500
Ga1 Ga 0.0530 0.2473 0.7500
# energy of formation from the pure elements	-0.3000	eV per atom
# calculated total energy	-5.16	eV/atom
# size of the total moment	0.0	μB per cell

=====

Entry 7:
# TmAl2Pt2, optimized geometry, DFT GGA-PBE
data_TmAl2Pt2
_symmetry_space_group_name_H-M 'I 4/m m m'
_symmetry_Int_Tables_number 139
_symmetry_space_group_name_Hall '-I 4 2'
_cell_length_a 3.949
_cell_length_b 3.949
_cell_length_c 11.779
_cell_angle_alpha 90.00
_cell_angle_beta 90.00
_cell_angle_gamma 90.00
loop_
_atom_site_label
_atom_site_type_symbol
_atom_site_fract_x
_atom_site_fract_y
_atom_site_fract_z
Tm1 Tm 0.000 0.000 0.000
Al1 Al 0.000 0.500 0.250
Pt1 Pt 0.000 0.000 0.385
# energy of formation from the pure elements	-1.1305	eV per atom
# calculated total energy	-5.94	eV/atom
# size of the total moment	0.0	μB per cell

=====

Entry 8:
# TmMgTiTl, optimized geometry, DFT GGA-PBE
data_TmMgTiTl
_symmetry_space_group_name_H-M 'F -4 3 m'
_symmetry_Int_Tables_number 216
_symmetry_space_group_name_Hall 'F -4 2 3'
_cell_length_a 7.147
_cell_length_b 7.147
_cell_length_c 7.147
_cell_angle_alpha 90.00
_cell_angle_beta 90.00
_cell_angle_gamma 90.00
loop_
_atom_site_label
_atom_site_type_symbol
_atom_site_fract_x
_atom_site_fract_y
_atom_site_fract_z
Tm1 Tm 0.000 0.000 0.000
Mg1 Mg 0.250 0.250 0.250
Ti1 Ti 0.000 0.000 0.500
Tl1 Tl 0.250 0.250 0.750
# energy of formation from the pure elements	0.0465	eV per atom
# calculated total energy	-4.04	eV/atom
# size of the total moment	7.1	μB per cell

=====

Entry 9:
# SrOsSe2, optimized geometry, DFT GGA-PBE
data_SrOsSe2
_symmetry_space_group_name_H-M 'R -3 m'
_symmetry_Int_Tables_number 166
_symmetry_space_group_name_Hall '-R 3 2"'
_cell_length_a 4.0865
_cell_length_b 4.0865
_cell_length_c 17.9353
_cell_angle_alpha 90.00
_cell_angle_beta 90.00
_cell_angle_gamma 120.00
loop_
_atom_site_label
_atom_site_type_symbol
_atom_site_fract_x
_atom_site_fract_y
_atom_site_fract_z
Sr1 Sr 0.0000 0.0000 0.0000
Os1 Os 0.0000 0.0000 0.5000
Se1 Se 0.0000 0.0000 0.2261
# calculated total energy	-5.63	eV/atom
# size of the total moment	0.0	μB per cell
# energy above the lowest structure with this stoichiometry	0.000	eV/atom

=====

Entry 10:
# Ac3SnP2Pd9, optimized geometry, DFT GGA-PBE
data_Ac3SnP2Pd9
_symmetry_space_group_name_H-M 'P -3 m 1'
_symmetry_Int_Tables_number 164
_symmetry_space_group_name_Hall '-P 3 2"'
_cell_length_a 6.4540
_cell_length_b 6.4540
_cell_length_c 9.1416
_cell_angle_alpha 90.00
_cell_angle_beta 90.00
_cell_angle_gamma 120.00
loop_
_atom_site_label
_atom_site_type_symbol
_atom_site_fract_x
_atom_site_fract_y
_atom_site_fract_z
Ac1 Ac 0.0000 0.0000 0.0000
Ac2 Ac 0.3333 0.6667 0.6469
Sn1 Sn 0.0000 0.0000 0.5000
P1 P 0.3333 0.6667 0.1567
Pd1 Pd 0.0000 0.5000 0.0000
Pd2 Pd 0.1569 0.3138 0.2820
# energy of formation from the pure elements	-0.7481	eV per atom
# calculated total energy	-5.67	eV/atom
# size of the total moment	0.0	μB per cell

=====

Entry 11:
# TlRe2W, optimized geometry, DFT GGA-PBE
data_TlRe2W
_symmetry_space_group_name_H-M 'F m -3 m'
_symmetry_Int_Tables_number 225
_symmetry_space_group_name_Hall '-F 4 2 3'
_cell_length_a 6.455
_cell_length_b 6.455
_cell_length_c 6.455
_cell_angle_alpha 90.00
_cell_angle_beta 90.00
_cell_angle_gamma 90.00
loop_
_atom_site_label
_atom_site_type_symbol
_atom_site_fract_x
_atom_site_fract_y
_atom_site_fract_z
Tl1 Tl 0.000 0.000 0.000
Re1 Re 0.250 0.250 0.250
W1 W 0.000 0.000 0.500
# energy of formation from the pure elements	0.8136	eV per atom
# calculated total energy	-9.24	eV/atom
# size of the total moment	0.0	μB per cell
# energy above the lowest structure with this stoichiometry	0.248	eV/atom

=====

Entry 12:
# Zn3FePb, optimized geometry, DFT GGA-PBE
data_Zn3FePb
_symmetry_space_group_name_H-M 'P m -3 m'
_symmetry_Int_Tables_number 221
_symmetry_space_group_name_Hall '-P 4 2 3'
_cell_length_a 4.660
_cell_length_b 4.660
_cell_length_c 4.660
_cell_angle_alpha 90.00
_cell_angle_beta 90.00
_cell_angle_gamma 90.00
loop_
_atom_site_label
_atom_site_type_symbol
_atom_site_fract_x
_atom_site_fract_y
_atom_site_fract_z
Zn1 Zn 0.000 0.000 0.500
Fe1 Fe 0.000 0.000 0.000
Pb1 Pb 0.500 0.500 0.500
# energy of formation from the pure elements	0.4522	eV per atom
# calculated total energy	-2.75	eV/atom
# size of the total moment	0.0	μB per cell
# energy above the lowest structure with this stoichiometry	0.000	eV/atom